{"formula": "FeTeO2F", "functional": "GGA+U", "state": "optimized geometry", "rho_kg_m3": 4955, "dft_energy_ev_per_atom": -4.619, "lattice": [[-3.965, 0.150, -1.319], [0.666, -3.368, -2.387], [-1.234, -2.658, 3.407]], "species": ["O", "O", "Fe", "F", "Te"], "frac_coords": [[0.000, 0.500, 0.000], [0.500, 0.000, 0.000], [0.500, 0.500, 0.500], [0.000, 0.000, 0.500], [0.000, 0.000, 0.000]]}